[1]
# Nd7Ho2Er3

A geometry-optimized Nd7Ho2Er3 structure (PBE, Alexandria).

Structure (CIF):
```
data_Nd7Ho2Er3
_symmetry_space_group_name_H-M 'C m m m'
_symmetry_Int_Tables_number 65
_symmetry_space_group_name_Hall '-C 2 2'
_cell_length_a 5.8063
_cell_length_b 38.2623
_cell_length_c 3.6360
_cell_angle_alpha 90.00
_cell_angle_beta 90.00
_cell_angle_gamma 90.00
loop_
_atom_site_label
_atom_site_fract_x
_atom_site_fract_y
_atom_site_fract_z
Nd1 0.0000 0.0000 0.0000
Nd2 0.0000 0.0727 0.5000
Nd3 0.0000 0.2324 0.0000
Nd4 0.0000 0.4069 0.0000
Ho1 0.0000 0.1491 0.0000
Er1 0.0000 0.3155 0.5000
Er2 0.0000 0.5000 0.5000
```

Summary:
The total magnetization is 0.00 μB/f.u. Its polymorph energy (0 for the lowest one) is 0.0 meV per atom. The value obtained for the density of states at the Fermi level is 38.9 states/eV/cell. Its formation energy is 0.1172 eV/atom.

[2]
# NdHo6Er8

A geometry-optimized NdHo6Er8 structure (PBE, Alexandria).

Structure (CIF):
```
data_NdHo6Er8
_symmetry_space_group_name_H-M 'R -3'
_symmetry_Int_Tables_number 148
_symmetry_space_group_name_Hall '-R 3'
_cell_length_a 8.9640
_cell_length_b 8.9640
_cell_length_c 20.4200
_cell_angle_alpha 90.00
_cell_angle_beta 90.00
_cell_angle_gamma 120.00
loop_
_atom_site_label
_atom_site_fract_x
_atom_site_fract_y
_atom_site_fract_z
Nd1 0.0000 0.0000 0.0000
Ho1 0.0634 0.2459 0.7077
Er1 0.0000 0.0000 0.4237
Er2 0.0809 0.5519 0.8087
```

Summary:
The total magnetization is 0.00 μB/f.u. Its polymorph energy (0 for the lowest one) is 0.0 meV per atom. The value obtained for the density of states at the Fermi level is 66.3 states/eV/cell. Its formation energy is 0.1361 eV/atom.